VASP calculation (PBE-GGA) on a geometry-optimized Be2W structure.

Calculated values
* energy relative to the lowest polymorph listed for this composition: 1.0119 eV per atom
* calculated formation energy: 699 meV/atom
* E_tot: -18.310 eV per cell
* total magnetization: 0.00 Bohr magnetons per cell
* DOS at the Fermi energy: 1.67 states/eV/f.u.
* SG: No. 123

a = 4.422 Å, b = 4.422 Å, c = 2.389 Å
α = 90.00°, β = 90.00°, γ = 90.00°
Fractional positions:
Be  0.000  0.500  0.000
Be  0.500  0.000  0.000
W  0.000  0.000  0.500